A plane-wave DFT calculation with PBE was carried out for a relaxed structure of SrNpMnS4.

Summary:
SG = No. 11
Electronic total energy = -7.050 eV/atom
Formation energy without anion corrections = -1293 meV per atom

Lattice parameters (Å, degrees): 6.5352 6.3169 8.1611 90.00 107.58 90.00
Each line ends with the local moment (μB).
Sites, in units of the cell vectors:
Sr  0.7440  0.7500  0.9395  0.02
Sr  0.2560  0.2500  0.0605  0.02
Np  0.7738  0.7500  0.4455  3.82
Np  0.2262  0.2500  0.5545  3.82
Mn  0.2350  0.7500  0.3190  3.54
Mn  0.7650  0.2500  0.6810  3.54
S  0.0144  0.5105  0.7294  -0.04
S  0.9856  0.0105  0.2706  -0.04
S  0.9856  0.4895  0.2706  -0.04
S  0.0144  0.9895  0.7294  -0.04
S  0.4362  0.7500  0.1370  0.01
S  0.5638  0.2500  0.8630  0.01
S  0.4423  0.7500  0.5936  -0.01
S  0.5577  0.2500  0.4064  -0.01